The following is a DFT calculation (PBE with a Hubbard U) of crystalline Co2PbOF at its relaxed geometry.

For the electronic total energy, the calculation gives -3.248 eV per atom. The calculated volume comes out at 23.81 A^3/atom. For the calculated density, the calculation gives 5.02 Mg/m³.

Cell: 5.1626 5.1626 4.4675 Å, 90.00 90.00 90.00°
Last column: nearest neighbours and their distance in Å.
Element x y z (fractional)
Co: 0.0000 0.5000 0.0000  2 Pb 2.58
Co: 0.5000 0.0000 0.0000  2 Pb 2.58
Pb: 0.0000 0.0000 0.0000  2 F 2.23
O: 0.5000 0.5000 0.5000  8 Co 3.41, 4 F 3.65
F: 0.0000 0.0000 0.5000  2 Pb 2.23